(1)
Density functional theory data (GGA-PBE) for crystalline Be2TcSb at its relaxed geometry.

Computed properties:
Its space group is No. 123. Its uncorrected formation energy is 0.25 eV/atom.

```
Be2TcSb
1.0
3.9463 0.0000 0.0000
0.0000 3.9475 0.0000
0.0000 0.0000 3.3949
Sb Tc Be
1 1 2
Direct
0.5000 0.0000 0.5000
0.0000 0.5000 0.5000
0.0000 0.0000 0.0000
0.5000 0.5000 0.0000
```



(2)
Density functional theory data (GGA-PBE) for crystalline Li2HoZn4 at its relaxed geometry.

Computed properties:
Its space group is No. 139. The calculation puts the electronic total energy at -15.50 eV per cell.

```
Li2HoZn4
1.0
-4.4281 0.6265 2.0627
-4.3498 -1.2415 -3.0812
-2.0860 -4.2789 2.7009
Li Ho Zn
2 1 4
Direct
0.7500 0.5000 0.5000
0.2500 0.5000 0.5000
0.0000 0.0000 0.0000
0.6919 0.0000 0.6161
0.3081 0.0000 0.3839
0.3081 0.3839 0.0000
0.6919 0.6161 0.0000
```



Repeat the first record exactly.
Density functional theory data (GGA-PBE) for crystalline Be2TcSb at its relaxed geometry.

Computed properties:
Its space group is No. 123. Its uncorrected formation energy is 0.25 eV/atom.

```
Be2TcSb
1.0
3.9463 0.0000 0.0000
0.0000 3.9475 0.0000
0.0000 0.0000 3.3949
Sb Tc Be
1 1 2
Direct
0.5000 0.0000 0.5000
0.0000 0.5000 0.5000
0.0000 0.0000 0.0000
0.5000 0.5000 0.0000
```